Density functional theory data (PBE with a Hubbard U) for an optimized crystal structure of Li2Si4Ni2O11.

Lattice parameters (Å, degrees): 6.9421 7.4416 8.7164 99.25 101.21 104.65
Last column: nearest neighbours and their distance in Å.
Positions (direct):
Li (0.1102, 0.2895, 0.1958)  4 O 2.00-2.19
Li (0.3674, 0.7521, 0.8402)  4 O 1.94-2.17
Li (0.6326, 0.2479, 0.1598)  4 O 1.94-2.17
Li (0.8898, 0.7105, 0.8042)  4 O 2.00-2.19
Si (0.0215, 0.7243, 0.2284)  4 O 1.62-1.64
Si (0.2603, 0.1074, 0.9679)  4 O 1.60-1.68
Si (0.2668, 0.4750, 0.5918)  4 O 1.62-1.68
Si (0.4595, 0.7259, 0.2338)  4 O 1.63-1.64
Si (0.5405, 0.2741, 0.7662)  4 O 1.63-1.64
Si (0.7332, 0.5250, 0.4082)  4 O 1.62-1.68
Si (0.7397, 0.8926, 0.0321)  4 O 1.60-1.68
Si (0.9785, 0.2757, 0.7716)  4 O 1.62-1.64
Ni (0.1283, 0.8858, 0.6031)  5 O 2.03-2.21
Ni (0.3811, 0.1163, 0.3914)  5 O 2.01-2.18
Ni (0.6189, 0.8837, 0.6086)  5 O 2.01-2.18
Ni (0.8717, 0.1142, 0.3969)  5 O 2.03-2.21
O (0.0842, 0.9138, 0.3721)  1 Si 1.63
O (0.1010, 0.2396, 0.9394)  2 Si 1.64-1.67
O (0.1155, 0.4607, 0.7202)  2 Si 1.64-1.68
O (0.1756, 0.3041, 0.4324)  1 Si 1.62
O (0.1757, 0.9021, 0.8427)  1 Si 1.62
O (0.2099, 0.6518, 0.1840)  2 Si 1.62-1.63
O (0.3175, 0.1174, 0.1561)  1 Si 1.60
O (0.3184, 0.6975, 0.5815)  1 Si 1.62
O (0.4353, 0.0811, 0.6258)  1 Si 1.63
O (0.4768, 0.2379, 0.9333)  2 Si 1.64-1.68
O (0.4781, 0.4528, 0.7050)  2 Si 1.63-1.66
O (0.5219, 0.5472, 0.2950)  2 Si 1.63-1.66
O (0.5232, 0.7621, 0.0667)  2 Si 1.64-1.68
O (0.5647, 0.9189, 0.3742)  1 Si 1.63
O (0.6816, 0.3025, 0.4185)  1 Si 1.62
O (0.6825, 0.8826, 0.8439)  1 Si 1.60
O (0.7901, 0.3482, 0.8160)  2 Si 1.62-1.63
O (0.8243, 0.0979, 0.1573)  1 Si 1.62
O (0.8244, 0.6959, 0.5676)  1 Si 1.62
O (0.8845, 0.5393, 0.2798)  2 Si 1.64-1.68
O (0.8990, 0.7604, 0.0606)  2 Si 1.64-1.67
O (0.9158, 0.0862, 0.6279)  1 Si 1.63

Calculated values
crystal system: triclinic
final energy: -259.3 eV per cell
theoretical density: 3.34 Mg/m³